Material: Sr2GdCu2IrO8
Method: DFT, SCAN
State: PBEsol geometry

Results
Total moment ... 0.604 μB/atom

abc: 11.6340 5.3927 5.3930
angles: 90.00 90.00 90.00
Space group Amm2 (No. 38)
One atom of each set of equivalent atoms:
Sr  0.1968  0.0000  0.0000
Gd  0.5000  0.0000  0.9996
Cu  0.3593  0.0000  0.4996
Ir  0.0000  0.0000  0.5012
O  0.0000  0.2492  0.7521
O  0.1731  0.0000  0.5009
O  0.3734  0.2500  0.2497

---

Material: MgMnI3
Method: DFT, SCAN
State: PBEsol geometry

Results
Total moment ... 0.819 μB/atom

abc: 5.5104 5.5104 5.5104
angles: 90.00 90.00 90.00
Space group Pm-3m (No. 221)
One atom of each set of equivalent atoms:
Mg  0.0000  0.0000  0.0000
Mn  0.5000  0.5000  0.5000
I  0.0000  0.5000  0.5000

---

Material: LiCa2Tl
Method: DFT, SCAN
State: PBEsol geometry

Results
DFT formation energy ... -0.43 eV/atom
Total moment ... 0.004 μB/atom
ΔE to the lowest computed polymorph ... 0 meV per atom

abc: 7.6154 7.6154 7.6154
angles: 90.00 90.00 90.00
Space group Fm-3m (No. 225)
One atom of each set of equivalent atoms:
Li  0.0000  0.0000  0.0000
Ca  0.2500  0.2500  0.2500
Tl  0.0000  0.0000  0.5000

---

Material: Mn2GeCCl
Method: DFT, SCAN
State: PBEsol geometry

Results
Total moment ... 1.637 μB/atom

abc: 3.8947 3.8947 4.9785
angles: 90.00 90.00 90.00
Space group P4/mmm (No. 123)
One atom of each set of equivalent atoms:
Mn  0.0000  0.5000  0.0000
Ge  0.0000  0.0000  0.5000
C  0.0000  0.0000  0.0000
Cl  0.5000  0.5000  0.5000

---

Material: Re2AuSe
Method: DFT, SCAN
State: PBEsol geometry

Results
Total moment ... 0.000 μB/atom

abc: 6.3301 6.3301 6.3301
angles: 90.00 90.00 90.00
Space group F-43m (No. 216)
One atom of each set of equivalent atoms:
Re  0.0000  0.0000  0.0000
Re  0.2500  0.2500  0.2500
Au  0.2500  0.2500  0.7500
Se  0.0000  0.0000  0.5000

---

Material: ZrAlHg2
Method: DFT, SCAN
State: PBEsol geometry

Results
DFT formation energy ... -0.33 eV/atom
Total moment ... 0.000 μB/atom

abc: 4.2249 4.2249 4.3364
angles: 90.00 90.00 90.00
Space group P4/mmm (No. 123)
One atom of each set of equivalent atoms:
Zr  0.0000  0.0000  0.0000
Al  0.5000  0.5000  0.0000
Hg  0.0000  0.5000  0.5000

---

Material: Na3CuAsCO7
Method: DFT, SCAN
State: PBEsol geometry

Results
Total moment ... 0.079 μB/atom

abc: 5.2254 6.5835 9.2078
angles: 90.00 91.98 90.00
Space group P2_1/m (No. 11)
One atom of each set of equivalent atoms:
Na  0.2106  0.2500  0.0891
Na  0.2488  0.0011  0.7444
Cu  0.2276  0.7500  0.3475
As  0.3185  0.2500  0.4238
C  0.2946  0.7500  0.0536
O  0.1013  0.7500  0.1409
O  0.1752  0.2500  0.5848
O  0.2411  0.7500  0.9153
O  0.2427  0.0484  0.3099
O  0.3511  0.7500  0.5498
O  0.4742  0.2500  0.8957

---

Material: ReRu2Cl
Method: DFT, SCAN
State: PBEsol geometry

Results
Total moment ... 0.000 μB/atom
ΔE to the lowest computed polymorph ... 0 meV per atom

abc: 9.6985 2.7842 4.2299
angles: 90.00 90.53 90.00
Space group Cm (No. 8)
One atom of each set of equivalent atoms:
Re  0.0000  0.0000  0.0000
Ru  0.0680  0.5000  0.4768
Ru  0.2895  0.0000  0.2307
Cl  0.2851  0.5000  0.7097

---

Material: RbH2O2F
Method: DFT, SCAN
State: PBEsol geometry

Results
Total moment ... 0.000 μB/atom

abc: 11.9087 11.9087 4.4100
angles: 90.00 90.00 90.00
Space group P-42_1m (No. 113)
One atom of each set of equivalent atoms:
Rb  0.0000  0.0000  0.0000
Rb  0.0000  0.5000  0.2677
Rb  0.2369  0.7369  0.2545
H  0.0412  0.7129  0.7332
H  0.0698  0.2604  0.2975
O  0.9998  0.2147  0.3553
O  0.0066  0.2175  0.6852
F  0.1113  0.6113  0.7837
F  0.1670  0.3330  0.2362

---

Material: BeSbTe2
Method: DFT, SCAN
State: PBEsol geometry

Results
Total moment ... 0.000 μB/atom
ΔE to the lowest computed polymorph ... 202 meV per atom

abc: 3.7687 5.7346 9.0288
angles: 90.00 90.00 90.00
Space group Cmm2 (No. 35)
One atom of each set of equivalent atoms:
Be  0.0000  0.0000  0.0000
Sb  0.0000  0.5000  0.7998
Te  0.0000  0.0000  0.5256
Te  0.0000  0.5000  0.1646

---

Material: Be2PbS
Method: DFT, SCAN
State: PBEsol geometry

Results
Total moment ... 0.000 μB/atom

abc: 5.5779 5.5779 9.3282
angles: 90.00 90.00 90.00
Space group I-42d (No. 122)
One atom of each set of equivalent atoms:
Be  0.1794  0.2500  0.1250
Pb  0.0000  0.0000  0.5000
S  0.0000  0.0000  0.0000

---

Material: Na2GaBi2
Method: DFT, SCAN
State: PBEsol geometry

Results
DFT formation energy ... 0.08 eV/atom
Total moment ... 0.000 μB/atom

abc: 4.8166 4.8166 13.5843
angles: 90.00 90.00 90.00
Space group I4/mmm (No. 139)
One atom of each set of equivalent atoms:
Na  0.0000  0.5000  0.2500
Ga  0.0000  0.0000  0.0000
Bi  0.0000  0.0000  0.3970

---

Material: LiTcH2Se
Method: DFT, SCAN
State: PBEsol geometry

Results
Total moment ... 0.058 μB/atom

abc: 3.6016 3.6016 4.6914
angles: 90.00 90.00 90.00
Space group P4/mmm (No. 123)
One atom of each set of equivalent atoms:
Li  0.0000  0.0000  0.0000
Tc  0.5000  0.5000  0.5000
H  0.0000  0.5000  0.5000
Se  0.5000  0.5000  0.0000

---

Material: TiIrW2F
Method: DFT, SCAN
State: PBEsol geometry

Results
Total moment ... 0.065 μB/atom

abc: 4.7221 4.7221 4.7781
angles: 90.00 90.00 90.00
Space group P4/mmm (No. 123)
One atom of each set of equivalent atoms:
Ti  0.0000  0.0000  0.0000
Ir  0.0000  0.0000  0.5000
W  0.0000  0.5000  0.5000
F  0.5000  0.5000  0.0000

---

Material: SiSe
Method: DFT, SCAN
State: PBEsol geometry

Results
Total moment ... 0.000 μB/atom

abc: 3.4911 3.9812 15.2871
angles: 90.00 90.00 90.00
Space group Imma (No. 74)
One atom of each set of equivalent atoms:
Si  0.0000  0.2500  0.0419
Se  0.0000  0.2500  0.3598

---

Material: BaZnReC2
Method: DFT, SCAN
State: PBEsol geometry

Results
DFT formation energy ... 2.51 eV/atom
Total moment ... 0.421 μB/atom

abc: 4.2171 4.2171 4.8371
angles: 90.00 90.00 90.00
Space group P4/mmm (No. 123)
One atom of each set of equivalent atoms:
Ba  0.0000  0.0000  0.0000
Zn  0.5000  0.5000  0.5000
Re  0.5000  0.5000  0.0000
C  0.0000  0.5000  0.5000

---

Material: Hg3Au
Method: DFT, SCAN
State: PBEsol geometry

Results
DFT formation energy ... 0.03 eV/atom
Total moment ... 0.000 μB/atom
ΔE to the lowest computed polymorph ... 0 meV per atom

abc: 7.2003 8.1226 6.1228
angles: 90.00 90.00 90.00
Space group Pnma (No. 62)
One atom of each set of equivalent atoms:
Hg  0.0148  0.2500  0.1233
Hg  0.2115  0.0553  0.6153
Au  0.1214  0.7500  0.4384

---

Material: TiSnOs3
Method: DFT, SCAN
State: PBEsol geometry

Results
DFT formation energy ... 1.74 eV/atom
Total moment ... 0.000 μB/atom

abc: 4.5212 4.5212 4.5212
angles: 90.00 90.00 90.00
Space group Pm-3m (No. 221)
One atom of each set of equivalent atoms:
Ti  0.0000  0.0000  0.0000
Sn  0.5000  0.5000  0.5000
Os  0.0000  0.0000  0.5000

---

Material: La2RePb
Method: DFT, SCAN
State: PBEsol geometry

Results
DFT formation energy ... -0.11 eV/atom
Total moment ... 0.000 μB/atom

abc: 4.8184 4.8297 9.1091
angles: 90.00 90.00 90.00
Space group Cmmm (No. 65)
One atom of each set of equivalent atoms:
La  0.0000  0.0000  0.1981
Re  0.0000  0.5000  0.0000
Pb  0.0000  0.5000  0.5000

---

Material: Cd2ReAu
Method: DFT, SCAN
State: PBEsol geometry

Results
DFT formation energy ... 0.37 eV/atom
Total moment ... 0.000 μB/atom
ΔE to the lowest computed polymorph ... 0 meV per atom

abc: 5.8551 8.5351 2.7515
angles: 90.00 90.00 90.00
Space group Cmmm (No. 65)
One atom of each set of equivalent atoms:
Cd  0.2500  0.2500  0.0000
Re  0.0000  0.0000  0.5000
Au  0.0000  0.5000  0.5000

---

Calculated total DFT energy (no corrections), -20.197, -27.022, -23.945, -14.300, -56.878, -44.021, -9.484, -36.518, -8.641, -28.723, -23.665, -36.308, -12.984, -44.688, -15.369, -26.362, -68.380, -51.779, -58.384, -49.904 eV per atom (same order as the records).